An optimized crystal structure of TmTaNO, computed with GGA-PBE.

Values from the calculation:
Its space-group type is P4/nmm.

Cell: 4.677 4.677 4.426 Å, 90.00 90.00 90.00°
Positions (direct):
Tm  0.250  0.750  0.000
Tm  0.750  0.250  0.000
Ta  0.250  0.250  0.499
Ta  0.750  0.750  0.501
N  0.250  0.250  0.000
N  0.750  0.750  0.000
O  0.250  0.750  0.500
O  0.750  0.250  0.500

An optimized crystal structure of TmTaNO, computed with GGA-PBE.

Values from the calculation:
Its space-group type is Pmc2_1.

Cell: 3.235 6.053 6.079 Å, 90.00 90.00 90.00°
Positions (direct):
Tm  0.000  0.163  0.000
Tm  0.000  0.837  0.500
Ta  0.500  0.335  0.538
Ta  0.500  0.665  0.038
N  0.500  0.391  0.855
N  0.500  0.609  0.355
O  0.000  0.170  0.352
O  0.000  0.830  0.852

An optimized crystal structure of TmTaNO, computed with GGA-PBE.

Values from the calculation:
Its space-group type is P4/mmm.

Cell: 3.304 3.304 4.436 Å, 90.00 90.00 90.00°
Positions (direct):
Tm  0.000  0.000  0.000
Ta  0.500  0.500  0.500
N  0.500  0.500  0.000
O  0.000  0.000  0.500

An optimized crystal structure of TmTaNO, computed with GGA-PBE.

Values from the calculation:
Its space-group type is Pca2_1.

Cell: 6.422 7.595 4.497 Å, 90.00 90.00 90.00°
Positions (direct):
Tm  0.048  0.128  0.000
Tm  0.452  0.128  0.500
Tm  0.548  0.872  0.000
Tm  0.952  0.872  0.500
Ta  0.109  0.635  0.001
Ta  0.391  0.635  0.501
Ta  0.609  0.365  0.001
Ta  0.891  0.365  0.501
N  0.073  0.592  0.501
N  0.427  0.592  0.001
N  0.573  0.408  0.501
N  0.927  0.408  0.001
O  0.100  0.149  0.500
O  0.400  0.149  0.000
O  0.600  0.851  0.500
O  0.900  0.851  0.000

An optimized crystal structure of TmTaNO, computed with GGA-PBE.

Values from the calculation:
Its space-group type is Pca2_1.

Cell: 6.242 7.434 5.007 Å, 90.00 90.00 90.00°
Positions (direct):
Tm  0.068  0.137  0.000
Tm  0.432  0.137  0.500
Tm  0.568  0.863  0.000
Tm  0.932  0.863  0.500
Ta  0.131  0.658  0.004
Ta  0.369  0.658  0.504
Ta  0.631  0.342  0.004
Ta  0.869  0.342  0.504
N  0.077  0.146  0.505
N  0.423  0.146  0.005
N  0.577  0.854  0.505
N  0.923  0.854  0.005
O  0.031  0.574  0.606
O  0.469  0.574  0.106
O  0.531  0.426  0.606
O  0.969  0.426  0.106

An optimized crystal structure of TmTaNO, computed with GGA-PBE.

Values from the calculation:
Its space-group type is Pmc2_1.

Cell: 3.381 5.961 5.721 Å, 90.00 90.00 90.00°
Positions (direct):
Tm  0.000  0.170  0.000
Tm  0.000  0.830  0.500
Ta  0.500  0.391  0.430
Ta  0.500  0.609  0.930
N  0.000  0.200  0.399
N  0.000  0.800  0.899
O  0.500  0.270  0.787
O  0.500  0.730  0.287

Calculated energy relative to the lowest polymorph listed for this composition in order - 0.229, 0.248, 0.229, 0.005, 0.191, 0.098 eV per atom